Density functional theory data (GGA-PBE) for KCd4Br8 after structural relaxation.

a b c (Å): 8.404 8.404 10.664
angles (deg): 124.96 124.96 59.55
Element x y z (fractional)
1 K 0.000 0.000 0.000
2 Cd 0.258 0.742 0.500
3 Cd 0.261 0.261 0.519
4 Cd 0.739 0.739 0.481
5 Cd 0.742 0.258 0.500
6 Br 0.002 0.002 0.316
7 Br 0.010 0.523 0.699
8 Br 0.477 0.990 0.301
9 Br 0.489 0.489 0.298
10 Br 0.511 0.511 0.702
11 Br 0.523 0.010 0.699
12 Br 0.990 0.477 0.301
13 Br 0.998 0.998 0.684

Properties
The value obtained for the excess energy over the best structure of this formula in the dataset is 0 meV/atom. For the formation energy without anion corrections, the calculation gives -877 meV/atom. The volume is 488 Å³ per cell. For the electronic total energy, the calculation gives -2.2720 eV/atom. The density of states at the Fermi level comes out at 3.66 states/eV/f.u.